# PBE YZn2Cu, optimized geometry
data_YZn2Cu
_chemical_formula_sum 'Y1 Zn2 Cu1'
_symmetry_space_group_name_H-M 'P 1'
_symmetry_Int_Tables_number 1
_symmetry_space_group_name_Hall 'P 1'
_cell_length_a 4.232
_cell_length_b 4.232
_cell_length_c 5.410
_cell_angle_alpha 67.39
_cell_angle_beta 67.39
_cell_angle_gamma 59.38
loop_
_atom_site_label
_atom_site_type_symbol
_atom_site_fract_x
_atom_site_fract_y
_atom_site_fract_z
Cu1 Cu 0.750 0.750 0.750
Y1 Y 0.250 0.250 0.250
Zn1 Zn 0.040 0.040 0.881
Zn2 Zn 0.460 0.460 0.619
# - SG: No. 12
# - Formation energy: -22.4 kJ/mol of atoms
# - Density of states at the Fermi level: 3.3 states/eV/cell